## ZrTlSb2 (PBE)

Data for a relaxed ZrTlSb2 crystal.

Unit cell a=5.114 b=5.114 c=3.875 alpha=90.00 beta=90.00 gamma=90.00
Fractional coordinates of all 4 atoms:
1 Zr 0.000 0.500 0.500
2 Tl 0.500 0.000 0.500
3 Sb 0.500 0.500 0.000
4 Sb 0.000 0.000 0.000

Calculated values
raw total energy	-4.803	eV per atom
magnetization	0.00	μB/f.u.
symmetry	P4/mmm, No. 123
D(E_F)	3.4	states/eV/cell

=====

## RbSnCl2 (PBE)

Data for a relaxed RbSnCl2 crystal.

Unit cell a=5.498 b=5.498 c=5.498 alpha=60.00 beta=60.00 gamma=60.00
Fractional coordinates of all 4 atoms:
1 Rb 0.000 0.000 0.000
2 Sn 0.500 0.500 0.500
3 Cl 0.750 0.750 0.750
4 Cl 0.250 0.250 0.250

Calculated values
raw total energy	-3.029	eV per atom
magnetization	0.00	μB/f.u.
symmetry	Fm-3m, No. 225
D(E_F)	2.7	states/eV/cell

=====

## Th2Ni2Sb (PBE)

Data for a relaxed Th2Ni2Sb crystal.

Unit cell a=3.926 b=7.431 c=7.431 alpha=90.00 beta=90.00 gamma=90.00
Fractional coordinates of all 10 atoms:
1 Ni 0.000 0.378 0.878
2 Ni 0.000 0.878 0.622
3 Ni 0.000 0.622 0.122
4 Ni 0.000 0.122 0.378
5 Th 0.500 0.676 0.824
6 Th 0.500 0.324 0.176
7 Th 0.500 0.824 0.324
8 Th 0.500 0.176 0.676
9 Sb 0.000 0.000 0.000
10 Sb 0.000 0.500 0.500

Calculated values
raw total energy	-6.776	eV per atom
magnetization	0.00	μB/f.u.
symmetry	P4/mbm, No. 127
D(E_F)	6.5	states/eV/cell

=====

## LaTb6Pm3Th2 (PBE)

Data for a relaxed LaTb6Pm3Th2 crystal.

Unit cell a=6.261 b=6.261 c=11.812 alpha=95.08 beta=95.08 gamma=119.98
Fractional coordinates of all 12 atoms:
1 Pm 0.166 0.834 0.500
2 Pm 0.500 0.500 0.500
3 Pm 0.834 0.166 0.500
4 Tb 0.421 0.083 0.246
5 Tb 0.256 0.256 0.754
6 Tb 0.744 0.744 0.246
7 Tb 0.917 0.579 0.754
8 Tb 0.579 0.917 0.754
9 Tb 0.083 0.421 0.246
10 Th 0.667 0.333 0.000
11 Th 0.333 0.667 0.000
12 La 0.000 0.000 0.000

Calculated values
magnetization	0.00	μB/f.u.
symmetry	C2/m, No. 12
formation energy	0.3	eV/f.u.
D(E_F)	16.2	states/eV/cell

=====

## AcDyGeO5 (PBE)

Data for a relaxed AcDyGeO5 crystal.

Unit cell a=6.075 b=6.075 c=7.664 alpha=102.07 beta=102.07 gamma=107.88
Fractional coordinates of all 16 atoms:
1 Ge 0.321 0.679 0.750
2 Ge 0.679 0.321 0.250
3 Dy 0.000 0.000 0.000
4 Dy 0.000 0.000 0.500
5 O 0.099 0.901 0.250
6 O 0.329 0.899 0.626
7 O 0.732 0.599 0.419
8 O 0.401 0.268 0.081
9 O 0.899 0.329 0.126
10 O 0.671 0.101 0.374
11 O 0.901 0.099 0.750
12 O 0.599 0.732 0.919
13 O 0.101 0.671 0.874
14 O 0.268 0.401 0.581
15 Ac 0.667 0.333 0.750
16 Ac 0.333 0.667 0.250

Calculated values
raw total energy	-7.629	eV per atom
magnetization	0.00	μB/f.u.
symmetry	C2/c, No. 15
D(E_F)	0.0	states/eV/cell

=====

## CoGe3H (PBE)

Data for a relaxed CoGe3H crystal.

Unit cell a=4.487 b=4.487 c=4.487 alpha=90.00 beta=90.00 gamma=90.00
Fractional coordinates of all 5 atoms:
1 Ge 0.500 0.000 0.000
2 Ge 0.000 0.500 0.000
3 Ge 0.000 0.000 0.500
4 Co 0.000 0.000 0.000
5 H 0.500 0.500 0.500

Calculated values
raw total energy	-4.346	eV per atom
magnetization	0.00	μB/f.u.
symmetry	Pm-3m, No. 221
D(E_F)	4.9	states/eV/cell

=====

## NdHo2S (PBE)

Data for a relaxed NdHo2S crystal.

Unit cell a=3.724 b=3.724 c=9.604 alpha=78.82 beta=78.82 gamma=60.00
Each line ends with the local moment (μB).
Fractional coordinates of all 4 atoms:
1 Nd 0.500 0.500 0.501  0.14
2 Ho 0.060 0.060 0.821  0.07
3 Ho 0.274 0.274 0.179  0.05
4 S 0.667 0.667 0.000  0.00

Calculated values
raw total energy	-5.453	eV per atom
magnetization	0.49	μB/f.u.
symmetry	R3m, No. 160
D(E_F)	4.1	states/eV/cell

=====

## PmSeS2 (PBE)

Data for a relaxed PmSeS2 crystal.

Unit cell a=4.982 b=5.703 c=10.612 alpha=134.71 beta=90.00 gamma=90.00
Fractional coordinates of all 8 atoms:
1 S 0.250 0.165 0.950
2 S 0.750 0.360 0.807
3 S 0.250 0.640 0.193
4 S 0.750 0.835 0.050
5 Pm 0.250 0.238 0.264
6 Pm 0.750 0.762 0.736
7 Se 0.250 0.392 0.589
8 Se 0.750 0.608 0.411

Calculated values
raw total energy	-5.126	eV per atom
magnetization	0.00	μB/f.u.
symmetry	P2_1/m, No. 11
D(E_F)	5.2	states/eV/cell

=====

Please write out number 7 again, unchanged.
## NdHo2S (PBE)

Data for a relaxed NdHo2S crystal.

Unit cell a=3.724 b=3.724 c=9.604 alpha=78.82 beta=78.82 gamma=60.00
Each line ends with the local moment (μB).
Fractional coordinates of all 4 atoms:
1 Nd 0.500 0.500 0.501  0.14
2 Ho 0.060 0.060 0.821  0.07
3 Ho 0.274 0.274 0.179  0.05
4 S 0.667 0.667 0.000  0.00

Calculated values
raw total energy	-5.453	eV per atom
magnetization	0.49	μB/f.u.
symmetry	R3m, No. 160
D(E_F)	4.1	states/eV/cell

=====

Question: Which value of D(E_F) does entry 5 give?
Answer: 0.0 states/eV/cell

=====

Question: Number 4 is which compound?
Answer: LaTb6Pm3Th2

=====

Question: Look up the magnetization of the sixth one.
Answer: 0.00 μB/f.u.